# 1
CrTcMo2 at its PBEsol-relaxed geometry, computed with meta-GGA SCAN.

Results
E (eV/cell): -245.8
Offset from the most stable computed form (eV/atom): 0.0478

Unit cell a=5.262 b=8.541 c=2.657 alpha=90.00 beta=109.67 gamma=90.00
Space group C2/m (No. 12)
Inequivalent atoms, fractional coordinates:
Cr 0.000 0.000 0.000 (multiplicity 2)
Tc 0.000 0.500 0.000 (multiplicity 2)
Mo 0.250 0.250 0.500 (multiplicity 4)

# 2
CrTcMo2 at its PBEsol-relaxed geometry, computed with meta-GGA SCAN.

Results
E (eV/cell): -122.9
Offset from the most stable computed form (eV/atom): 0.0441

Unit cell a=2.654 b=4.264 c=5.042 alpha=90.00 beta=100.28 gamma=90.00
Space group P2/m (No. 10)
Inequivalent atoms, fractional coordinates:
Cr 0.000 0.000 0.000 (multiplicity 1)
Tc 0.500 0.000 0.500 (multiplicity 1)
Mo 0.245 0.500 0.755 (multiplicity 2)

# 3
CrTc2Mo at its PBEsol-relaxed geometry, computed with meta-GGA SCAN.

Results
E (eV/cell): -367.2

Unit cell a=2.7023 b=2.7023 c=26.1325 alpha=90.00 beta=90.00 gamma=120.00
Space group R-3m (No. 166, hexagonal axes)
Inequivalent atoms, fractional coordinates:
Cr 0.0000 0.0000 0.0000 (multiplicity 3)
Tc 0.0000 0.0000 0.2555 (multiplicity 6)
Mo 0.0000 0.0000 0.5000 (multiplicity 3)

# 4
CrTc2Mo at its PBEsol-relaxed geometry, computed with meta-GGA SCAN.

Results
E (eV/cell): -122.4

Unit cell a=3.835 b=3.835 c=3.746 alpha=90.00 beta=90.00 gamma=90.00
Space group P4/mmm (No. 123)
Inequivalent atoms, fractional coordinates:
Cr 0.000 0.000 0.000 (multiplicity 1)
Tc 0.000 0.500 0.500 (multiplicity 2)
Mo 0.500 0.500 0.000 (multiplicity 1)

# 5
CrTcMo2 at its PBEsol-relaxed geometry, computed with meta-GGA SCAN.

Results
E (eV/cell): -123.0
Offset from the most stable computed form (eV/atom): 0.0152

Unit cell a=3.046 b=4.282 c=4.303 alpha=90.00 beta=90.00 gamma=90.00
Space group Pmmm (No. 47)
Inequivalent atoms, fractional coordinates:
Cr 0.000 0.000 0.000 (multiplicity 1)
Tc 0.500 0.000 0.500 (multiplicity 1)
Mo 0.000 0.500 0.500 (multiplicity 1)
Mo 0.500 0.500 0.000 (multiplicity 1)

# 6
CrTcMo2 at its PBEsol-relaxed geometry, computed with meta-GGA SCAN.

Results
E (eV/cell): -123.0
Offset from the most stable computed form (eV/atom): 0.0209

Unit cell a=3.032 b=3.032 c=6.104 alpha=90.00 beta=90.00 gamma=90.00
Space group P4mm (No. 99)
Inequivalent atoms, fractional coordinates:
Cr 0.000 0.000 0.000 (multiplicity 1)
Tc 0.500 0.500 0.744 (multiplicity 1)
Mo 0.000 0.000 0.496 (multiplicity 1)
Mo 0.500 0.500 0.224 (multiplicity 1)

# 7
CrTc2Mo at its PBEsol-relaxed geometry, computed with meta-GGA SCAN.

Results
E (eV/cell): -246.4

Unit cell a=3.014 b=4.270 c=8.507 alpha=90.00 beta=90.00 gamma=90.00
Space group Imm2 (No. 44)
Inequivalent atoms, fractional coordinates:
Cr 0.000 0.000 0.000 (multiplicity 2)
Tc 0.000 0.000 0.487 (multiplicity 2)
Tc 0.000 0.500 0.252 (multiplicity 2)
Mo 0.000 0.500 0.730 (multiplicity 2)

# 8
CrTcMo2 at its PBEsol-relaxed geometry, computed with meta-GGA SCAN.

Results
E (eV/cell): -122.9
Offset from the most stable computed form (eV/atom): 0.0442

Unit cell a=2.654 b=4.272 c=5.034 alpha=90.00 beta=100.18 gamma=90.00
Space group Pm (No. 6)
Inequivalent atoms, fractional coordinates:
Cr 0.000 0.000 0.000 (multiplicity 1)
Tc 0.265 0.500 0.754 (multiplicity 1)
Mo 0.519 0.000 0.502 (multiplicity 1)
Mo 0.760 0.500 0.240 (multiplicity 1)

# 9
CrTcMo2 at its PBEsol-relaxed geometry, computed with meta-GGA SCAN.

Results
E (eV/cell): -246.0
Offset from the most stable computed form (eV/atom): 0.0201

Unit cell a=3.032 b=4.319 c=8.551 alpha=90.00 beta=90.00 gamma=90.00
Space group Immm (No. 71)
Inequivalent atoms, fractional coordinates:
Cr 0.000 0.000 0.000 (multiplicity 2)
Tc 0.000 0.000 0.500 (multiplicity 2)
Mo 0.000 0.500 0.256 (multiplicity 4)

# 10
Cr2TcMoW at its PBEsol-relaxed geometry, computed with meta-GGA SCAN.

Results
E (eV/cell): -166.8

Unit cell a=4.256 b=4.256 c=4.706 alpha=90.00 beta=90.00 gamma=90.00
Space group P4/mmm (No. 123)
Inequivalent atoms, fractional coordinates:
Cr 0.000 0.500 0.000 (multiplicity 2)
Tc 0.000 0.000 0.500 (multiplicity 1)
Mo 0.500 0.500 0.000 (multiplicity 1)
W 0.500 0.500 0.500 (multiplicity 1)

# 11
Cr2TeMo at its PBEsol-relaxed geometry, computed with meta-GGA SCAN.

Results
E (eV/cell): -214.7
Uncorrected formation energy (meV per atom): 392

Unit cell a=4.006 b=4.006 c=7.278 alpha=90.00 beta=90.00 gamma=90.00
Space group I4/mmm (No. 139)
Inequivalent atoms, fractional coordinates:
Cr 0.000 0.500 0.250 (multiplicity 4)
Te 0.000 0.000 0.000 (multiplicity 2)
Mo 0.000 0.000 0.500 (multiplicity 2)

# 12
CrTeMo2 at its PBEsol-relaxed geometry, computed with meta-GGA SCAN.

Results
E (eV/cell): -369.8
Uncorrected formation energy (meV per atom): 535

Unit cell a=3.0728 b=3.0728 c=23.8880 alpha=90.00 beta=90.00 gamma=120.00
Space group R3m (No. 160, hexagonal axes)
Inequivalent atoms, fractional coordinates:
Cr 0.0000 0.0000 0.0000 (multiplicity 3)
Te 0.0000 0.0000 0.2471 (multiplicity 3)
Mo 0.0000 0.0000 0.4885 (multiplicity 3)
Mo 0.0000 0.0000 0.7394 (multiplicity 3)